First-principles (PBE+U) data for a relaxed structure of KTlMo2O8, as listed in Alexandria.

It has space group I-4m2 (No. 119), with a = 7.6645 Å, b = 7.6645 Å, c = 6.6898 Å, α = 90.00°, β = 90.00° and γ = 90.00°. Symmetry generates all atoms from K at (0.0000, 0.0000, 0.0000), Tl at (0.0000, 0.5000, 0.2500), Mo at (0.0000, 0.0000, 0.5000), Mo at (0.0000, 0.5000, 0.7500), O at (0.0000, 0.1934, 0.3463) and O at (0.0000, 0.3211, 0.9235).

Its crystal system is tetragonal. The calculated total energy comes out at -6.113 eV per atom. The calculation puts the calculated volume at 196.5 Å³/f.u.